No. 1
MgNbNO2 | GGA-PBE | optimized geometry

The value obtained for the energy is -0.5481 Ry/atom. For the raw formation energy, the calculation gives -142 kJ per mole of atoms.

It has space group P4/mmm (No. 123), with a = 3.9602 Å, b = 3.9602 Å, c = 4.1430 Å, α = 90.00°, β = 90.00° and γ = 90.00°. The distinct sites, in fractional coordinates, are Mg at (0.0000, 0.0000, 0.0000), Nb at (0.5000, 0.5000, 0.5000), N at (0.5000, 0.5000, 0.0000) and O at (0.0000, 0.5000, 0.5000).


No. 2
SrCuRu2 | GGA-PBE | optimized geometry

As for the energy above the lowest structure with this stoichiometry: 794 meV per atom. The value obtained for the energy is -0.3772 Ry/atom. Its energy relative to the elements is 0.951 eV/atom.

It has space group Fm-3m (No. 225), with a = 6.5411 Å, b = 6.5411 Å, c = 6.5411 Å, α = 90.00°, β = 90.00° and γ = 90.00°. The distinct sites, in fractional coordinates, are Sr at (0.0000, 0.0000, 0.0000), Cu at (0.0000, 0.0000, 0.5000) and Ru at (0.2500, 0.2500, 0.2500).


No. 3
MgCd2In | GGA-PBE | optimized geometry

The value obtained for the energy is -0.1148 Ry/atom. Its energy relative to the elements is -0.021 eV/atom.

It has space group Cmmm (No. 65), with a = 6.1540 Å, b = 9.0890 Å, c = 3.3312 Å, α = 90.00°, β = 90.00° and γ = 90.00°. The distinct sites, in fractional coordinates, are Mg at (0.0000, 0.0000, 0.0000), Cd at (0.2500, 0.2500, 0.5000) and In at (0.0000, 0.5000, 0.0000).


No. 4
NdDyHo3 | GGA-PBE | optimized geometry

As for the energy above the lowest structure with this stoichiometry: 0 meV per atom. The value obtained for the energy is -0.3387 Ry/atom. Its energy relative to the elements is 0.013 eV/atom.

It has space group P2_1/m (No. 11), with a = 6.2917 Å, b = 5.6614 Å, c = 9.6027 Å, α = 90.00°, β = 109.08° and γ = 90.00°. The distinct sites, in fractional coordinates, are Nd at (0.0684, 0.2500, 0.3000), Dy at (0.4663, 0.2500, 0.0994), Ho at (0.1351, 0.7500, 0.0984), Ho at (0.2671, 0.2500, 0.7013) and Ho at (0.3362, 0.7500, 0.5008).


No. 5
La3Ge2Pd3 | GGA-PBE | optimized geometry

As for the energy above the lowest structure with this stoichiometry: 32 meV per atom. The value obtained for the energy is -0.4270 Ry/atom. Its energy relative to the elements is -0.860 eV/atom.

It has space group Cmcm (No. 63), with a = 4.5143 Å, b = 10.8155 Å, c = 15.2371 Å, α = 90.00°, β = 90.00° and γ = 90.00°. The distinct sites, in fractional coordinates, are La at (0.0000, 0.0938, 0.1002), La at (0.0000, 0.3898, 0.2500), Ge at (0.0000, 0.1977, 0.6038), Pd at (0.0000, 0.3198, 0.7500) and Pd at (0.0000, 0.3775, 0.0414).


No. 6
NdDy2Si | GGA-PBE | optimized geometry

As for the energy above the lowest structure with this stoichiometry: 225 meV per atom. The value obtained for the energy is -0.3578 Ry/atom. For the raw formation energy, the calculation gives -2 kJ per mole of atoms.

It has space group R-3m (No. 166, hexagonal axes), with a = 3.5898 Å, b = 3.5898 Å, c = 32.7266 Å, α = 90.00°, β = 90.00° and γ = 120.00°. The distinct sites, in fractional coordinates, are Nd at (0.0000, 0.0000, 0.0000), Dy at (0.0000, 0.0000, 0.1078) and Si at (0.0000, 0.0000, 0.5000).


No. 7
UCdBiO6 | GGA-PBE | optimized geometry

The value obtained for the energy is -0.5130 Ry/atom. For the raw formation energy, the calculation gives -182 kJ per mole of atoms.

It has space group P-31c (No. 163), with a = 5.6594 Å, b = 5.6594 Å, c = 9.7707 Å, α = 90.00°, β = 90.00° and γ = 120.00°. The distinct sites, in fractional coordinates, are U at (0.3333, 0.6667, 0.2500), Cd at (0.3333, 0.6667, 0.7500), Bi at (0.0000, 0.0000, 0.0000) and O at (0.0320, 0.3534, 0.1312).


No. 8
DySnPb2S5 | GGA-PBE | optimized geometry

The value obtained for the energy is -0.3615 Ry/atom. For the raw formation energy, the calculation gives -82 kJ per mole of atoms.

It has space group Cmc2_1 (No. 36), with a = 4.1010 Å, b = 17.3811 Å, c = 13.1123 Å, α = 90.00°, β = 90.00° and γ = 90.00°. The distinct sites, in fractional coordinates, are Dy at (0.0000, 0.2177, 0.0000), Sn at (0.0000, 0.4611, 0.4331), Pb at (0.0000, 0.1150, 0.6496), Pb at (0.0000, 0.1322, 0.2689), S at (0.0000, 0.0588, 0.0532), S at (0.0000, 0.2780, 0.6430), S at (0.0000, 0.3170, 0.3672), S at (0.0000, 0.3723, 0.9989) and S at (0.0000, 0.4849, 0.7526).


No. 9
Na2YGe2 | GGA-PBE | optimized geometry

As for the energy above the lowest structure with this stoichiometry: 0 meV per atom. The value obtained for the energy is -0.2911 Ry/atom. Its energy relative to the elements is -0.293 eV/atom.

It has space group I4/mmm (No. 139), with a = 4.1748 Å, b = 4.1748 Å, c = 13.5007 Å, α = 90.00°, β = 90.00° and γ = 90.00°. The distinct sites, in fractional coordinates, are Na at (0.0000, 0.5000, 0.2500), Y at (0.0000, 0.0000, 0.0000) and Ge at (0.0000, 0.0000, 0.4093).


No. 10
Cr2CdBr | GGA-PBE | optimized geometry

As for the energy above the lowest structure with this stoichiometry: 0 meV per atom. The value obtained for the energy is -0.3831 Ry/atom. For the raw formation energy, the calculation gives 24 kJ per mole of atoms.

It has space group P4mm (No. 99), with a = 3.2797 Å, b = 3.2797 Å, c = 7.8579 Å, α = 90.00°, β = 90.00° and γ = 90.00°. The distinct sites, in fractional coordinates, are Cr at (0.0000, 0.0000, 0.0000), Cr at (0.5000, 0.5000, 0.1427), Cd at (0.5000, 0.5000, 0.7730) and Br at (0.0000, 0.0000, 0.3427).


No. 11
FeSnPt | GGA-PBE | optimized geometry

The value obtained for the energy is -0.4608 Ry/atom. Its energy relative to the elements is -0.100 eV/atom.

It has space group P3m1 (No. 156), with a = 4.0365 Å, b = 4.0365 Å, c = 15.8838 Å, α = 90.00°, β = 90.00° and γ = 120.00°. The distinct sites, in fractional coordinates, are Fe at (0.0000, 0.0000, 0.0000), Fe at (0.0000, 0.0000, 0.3168), Fe at (0.3333, 0.6667, 0.2514), Fe at (0.3333, 0.6667, 0.9316), Sn at (0.0000, 0.0000, 0.6743), Sn at (0.6667, 0.3333, 0.1747), Sn at (0.6667, 0.3333, 0.4897), Sn at (0.6667, 0.3333, 0.8592), Pt at (0.3333, 0.6667, 0.0844), Pt at (0.3333, 0.6667, 0.4035), Pt at (0.3333, 0.6667, 0.5847) and Pt at (0.3333, 0.6667, 0.7650).


No. 12
Sr2TlCoCl8 | GGA-PBE | optimized geometry

The value obtained for the energy is -0.2782 Ry/atom. For the raw formation energy, the calculation gives -143 kJ per mole of atoms.

It has space group P-1 (No. 2), with a = 6.2957 Å, b = 6.3017 Å, c = 8.9048 Å, α = 89.74°, β = 89.87° and γ = 89.98°. The distinct sites, in fractional coordinates, are Sr at (0.0013, 0.0024, 0.2382), Tl at (0.5000, 0.5000, 0.5000), Co at (0.5000, 0.5000, 0.0000), Cl at (0.1027, 0.2402, 0.5003), Cl at (0.1998, 0.2851, 0.9980), Cl at (0.3556, 0.7074, 0.1825) and Cl at (0.3610, 0.7119, 0.8170).


No. 13
ScCdSb2 | GGA-PBE | optimized geometry

The value obtained for the energy is -0.3123 Ry/atom. For the raw formation energy, the calculation gives -36 kJ per mole of atoms.

It has space group Cm (No. 8), with a = 11.0389 Å, b = 4.0087 Å, c = 4.5499 Å, α = 90.00°, β = 100.66° and γ = 90.00°. The distinct sites, in fractional coordinates, are Sc at (0.0000, 0.0000, 0.0000), Cd at (0.2053, 0.0000, 0.5891), Sb at (0.2251, 0.5000, 0.0738) and Sb at (0.4599, 0.0000, 0.4811).


No. 14
AcZn2SiN4 | GGA-PBE | optimized geometry

The value obtained for the energy is -0.4570 Ry/atom. For the raw formation energy, the calculation gives -53 kJ per mole of atoms.

It has space group I-42m (No. 121), with a = 5.3306 Å, b = 5.3306 Å, c = 7.3882 Å, α = 90.00°, β = 90.00° and γ = 90.00°. The distinct sites, in fractional coordinates, are Ac at (0.0000, 0.0000, 0.0000), Zn at (0.0000, 0.5000, 0.2500), Si at (0.0000, 0.0000, 0.5000) and N at (0.1889, 0.1889, 0.6397).


No. 15
Mg5U3Se12 | GGA-PBE | optimized geometry

The value obtained for the energy is -0.3823 Ry/atom. For the raw formation energy, the calculation gives -98 kJ per mole of atoms.

It has space group Ia-3d (No. 230), with a = 15.9938 Å, b = 15.9938 Å, c = 15.9938 Å, α = 90.00°, β = 90.00° and γ = 90.00°. The distinct sites, in fractional coordinates, are Mg at (0.0000, 0.0000, 0.0000), Mg at (0.0000, 0.2500, 0.3750), U at (0.0000, 0.2500, 0.1250) and Se at (0.0222, 0.0687, 0.6524).


No. 16
Ac3Sn2Pb | GGA-PBE | optimized geometry

As for the energy above the lowest structure with this stoichiometry: 0 meV per atom. The value obtained for the energy is -0.3372 Ry/atom. Its energy relative to the elements is -0.581 eV/atom.

It has space group R-3c (No. 167, hexagonal axes), with a = 9.0166 Å, b = 9.0166 Å, c = 20.5207 Å, α = 90.00°, β = 90.00° and γ = 120.00°. The distinct sites, in fractional coordinates, are Ac at (0.0000, 0.3316, 0.2500), Sn at (0.0000, 0.0000, 0.1674) and Pb at (0.0000, 0.0000, 0.0000).


No. 17
YMo2 | GGA-PBE | optimized geometry

The value obtained for the energy is -0.6420 Ry/atom. Its energy relative to the elements is 0.640 eV/atom.

It has space group P-6m2 (No. 187), with a = 3.1589 Å, b = 3.1589 Å, c = 13.9049 Å, α = 90.00°, β = 90.00° and γ = 120.00°. The distinct sites, in fractional coordinates, are Y at (0.0000, 0.0000, 0.1835), Mo at (0.0000, 0.0000, 0.5000), Mo at (0.3333, 0.6667, 0.0000) and Mo at (0.3333, 0.6667, 0.3642).


No. 18
TaMo | GGA-PBE | optimized geometry

The value obtained for the energy is -0.8415 Ry/atom. Its energy relative to the elements is -0.108 eV/atom.

It has space group Fd-3m (No. 227, origin choice 2), with a = 6.4652 Å, b = 6.4652 Å, c = 6.4652 Å, α = 90.00°, β = 90.00° and γ = 90.00°. The distinct sites, in fractional coordinates, are Ta at (0.1250, 0.1250, 0.1250) and Mo at (0.1250, 0.1250, 0.6250).


No. 19
KFeIr2 | GGA-PBE | optimized geometry

As for the energy above the lowest structure with this stoichiometry: 0 meV per atom. The value obtained for the energy is -0.4689 Ry/atom. Its energy relative to the elements is 0.440 eV/atom.

It has space group P4/mmm (No. 123), with a = 2.7808 Å, b = 2.7808 Å, c = 8.8165 Å, α = 90.00°, β = 90.00° and γ = 90.00°. The distinct sites, in fractional coordinates, are K at (0.0000, 0.0000, 0.0000), Fe at (0.0000, 0.0000, 0.5000) and Ir at (0.5000, 0.5000, 0.3142).


No. 20
Rb3CdBi | GGA-PBE | optimized geometry

As for the energy above the lowest structure with this stoichiometry: 184 meV per atom. The value obtained for the energy is -0.1173 Ry/atom. Its energy relative to the elements is -0.057 eV/atom.

It has space group Pm-3m (No. 221), with a = 7.2475 Å, b = 7.2475 Å, c = 7.2475 Å, α = 90.00°, β = 90.00° and γ = 90.00°. The distinct sites, in fractional coordinates, are Rb at (0.0000, 0.0000, 0.5000), Cd at (0.5000, 0.5000, 0.5000) and Bi at (0.0000, 0.0000, 0.0000).